Compound: BeOs
Source: Alexandria via LeMat-Bulk
Functional: PBE
Structure: relaxed

a b c (Å): 6.044 6.044 6.044
angles (deg): 90.00 90.00 90.00
Atoms (fractional coordinates):
Be 0.250 0.500 0.000
Be 0.750 0.500 0.000
Be 0.500 0.000 0.250
Be 0.500 0.000 0.750
Be 0.000 0.250 0.500
Be 0.000 0.750 0.500
Os 0.250 0.000 0.500
Os 0.750 0.000 0.500
Os 0.000 0.500 0.250
Os 0.000 0.500 0.750
Os 0.500 0.250 0.000
Os 0.500 0.750 0.000

Values from the calculation:
- DOS(E_F) (states/eV/cell) = 17.33
- E (eV/atom) = -5.69